No. 1
Computed, not measured: YCu3Ag4O12 after structural relaxation at the PBEsol level of DFT.

Results
Volume in Å³/atom: 11.0
Total DFT energy (no corrections) in eV per cell: -107.38
Formation energy from raw total energies in meV/atom: -566

a = 6.5835 Å, b = 6.5835 Å, c = 6.5835 Å
α = 109.47°, β = 109.47°, γ = 109.47°
Sites, in units of the cell vectors:
1 Y 0.0000 0.0000 0.0000
2 Cu 0.0000 0.5000 0.5000
3 Cu 0.5000 0.0000 0.5000
4 Cu 0.5000 0.5000 0.0000
5 Ag 0.0000 0.0000 0.5000
6 Ag 0.0000 0.5000 0.0000
7 Ag 0.5000 0.0000 0.0000
8 Ag 0.5000 0.5000 0.5000
9 O 0.1524 0.8428 0.3096
10 O 0.1572 0.3096 0.4668
11 O 0.1572 0.6904 0.8476
12 O 0.3096 0.1524 0.8428
13 O 0.3096 0.4668 0.1572
14 O 0.4668 0.1572 0.3096
15 O 0.5332 0.8428 0.6904
16 O 0.6904 0.5332 0.8428
17 O 0.6904 0.8476 0.1572
18 O 0.8428 0.3096 0.1524
19 O 0.8428 0.6904 0.5332
20 O 0.8476 0.1572 0.6904



No. 2
Computed, not measured: Zr2ScCo after structural relaxation at the PBEsol level of DFT.

Results
Volume in Å³/atom: 18.4
Total DFT energy (no corrections) in eV per cell: -64.06
ΔH_f (0 K) in eV/atom: 0.1224
Offset from the most stable computed form in eV per atom: 0.268

a = 3.9020 Å, b = 3.9020 Å, c = 9.6468 Å
α = 90.00°, β = 90.00°, γ = 90.00°
Sites, in units of the cell vectors:
1 Zr 0.0000 0.5000 0.2500
2 Zr 0.0000 0.5000 0.7500
3 Zr 0.5000 0.0000 0.2500
4 Zr 0.5000 0.0000 0.7500
5 Sc 0.0000 0.0000 0.0000
6 Sc 0.5000 0.5000 0.5000
7 Co 0.0000 0.0000 0.5000
8 Co 0.5000 0.5000 0.0000



No. 3
Computed, not measured: NbH3O after structural relaxation at the PBEsol level of DFT.

Results
Volume in Å³/atom: 8.5
Total DFT energy (no corrections) in eV per cell: -23.16

a = 3.4902 Å, b = 3.4902 Å, c = 3.4902 Å
α = 90.00°, β = 90.00°, γ = 90.00°
Sites, in units of the cell vectors:
1 Nb 0.0000 0.0000 0.0000
2 H 0.0000 0.0000 0.5000
3 H 0.0000 0.5000 0.0000
4 H 0.5000 0.0000 0.0000
5 O 0.5000 0.5000 0.5000



No. 4
Computed, not measured: Rb2NbTlPb after structural relaxation at the PBEsol level of DFT.

Results
Volume in Å³/atom: 49.1
Total DFT energy (no corrections) in eV per cell: -12.95
ΔH_f (0 K) in eV/atom: 1.3095

a = 6.6237 Å, b = 6.6237 Å, c = 5.5908 Å
α = 90.00°, β = 90.00°, γ = 90.00°
Sites, in units of the cell vectors:
1 Rb 0.0000 0.5000 0.0000
2 Rb 0.5000 0.0000 0.0000
3 Nb 0.0000 0.0000 0.5000
4 Tl 0.5000 0.5000 0.0000
5 Pb 0.5000 0.5000 0.5000



No. 5
Computed, not measured: Sr2AlAu after structural relaxation at the PBEsol level of DFT.

Results
Volume in Å³/atom: 30.4
Total DFT energy (no corrections) in eV per cell: -26.96
ΔH_f (0 K) in eV/atom: -0.4453

a = 4.4911 Å, b = 4.8450 Å, c = 11.1943 Å
α = 90.00°, β = 90.00°, γ = 90.00°
Sites, in units of the cell vectors:
1 Sr 0.0000 0.0000 0.0000
2 Sr 0.0000 0.5000 0.5000
3 Sr 0.5000 0.0000 0.2923
4 Sr 0.5000 0.5000 0.7923
5 Al 0.0000 0.0000 0.6959
6 Al 0.0000 0.5000 0.1959
7 Au 0.5000 0.0000 0.5888
8 Au 0.5000 0.5000 0.0888



No. 6
Computed, not measured: K3HfBe after structural relaxation at the PBEsol level of DFT.

Results
Volume in Å³/atom: 45.1
Total DFT energy (no corrections) in eV per cell: -9.99
ΔH_f (0 K) in eV/atom: 1.5819

a = 6.0886 Å, b = 6.0886 Å, c = 6.0886 Å
α = 90.00°, β = 90.00°, γ = 90.00°
Sites, in units of the cell vectors:
1 K 0.0000 0.0000 0.5000
2 K 0.0000 0.5000 0.0000
3 K 0.5000 0.0000 0.0000
4 Hf 0.5000 0.5000 0.5000
5 Be 0.0000 0.0000 0.0000



No. 7
Computed, not measured: HgSb2Te after structural relaxation at the PBEsol level of DFT.

Results
Volume in Å³/atom: 28.2
Total DFT energy (no corrections) in eV per cell: -13.09
Offset from the most stable computed form in eV per atom: 0.038
Formation energy from raw total energies in meV/atom: 30

a = 3.1292 Å, b = 6.1020 Å, c = 5.9122 Å
α = 90.00°, β = 90.45°, γ = 90.00°
Sites, in units of the cell vectors:
1 Hg 0.0000 0.0000 0.0000
2 Sb 0.0543 0.0000 0.5004
3 Sb 0.9591 0.5000 0.4989
4 Te 0.8386 0.5000 0.9996



No. 8
Computed, not measured: Be4Cl3 after structural relaxation at the PBEsol level of DFT.

Results
Volume in Å³/atom: 17.1
Total DFT energy (no corrections) in eV per cell: -17.56
Formation energy from raw total energies in meV/atom: 638

a = 6.1437 Å, b = 6.1437 Å, c = 3.6515 Å
α = 90.00°, β = 90.00°, γ = 120.00°
Sites, in units of the cell vectors:
1 Be 0.0000 0.0000 0.2471
2 Be 0.0000 0.0000 0.7529
3 Be 0.3333 0.6667 0.5000
4 Be 0.6667 0.3333 0.5000
5 Cl 0.0000 0.5000 0.0000
6 Cl 0.5000 0.0000 0.0000
7 Cl 0.5000 0.5000 0.0000